(1)
# NpBr3Cl

A geometry-optimized NpBr3Cl structure (GGA-PBE, Alexandria).

```
NpBr3Cl
1.0
10.151 0.000 0.000
0.000 4.251 0.000
0.000 0.000 9.317
Np Br Cl
2 6 2
direct
0.250 0.000 0.237 Np
0.750 0.000 0.763 Np
0.062 0.500 0.237 Br
0.250 0.000 0.523 Br
0.438 0.500 0.237 Br
0.562 0.500 0.763 Br
0.750 0.000 0.477 Br
0.938 0.500 0.763 Br
0.250 0.000 0.970 Cl
0.750 0.000 0.030 Cl
```

Computed properties:
**ΔE_f (raw)**: -1.296 eV/atom
**Crystal system**: orthorhombic
**Raw total energy**: -5.2571 eV per atom

***

(2)
# RbNa2SCl

A geometry-optimized RbNa2SCl structure (GGA-PBE, Alexandria).

```
RbNa2SCl
1.0
5.186 0.000 0.000
0.000 5.186 0.000
0.000 0.000 6.535
Rb Na S Cl
1 2 1 1
direct
0.000 0.000 0.000 Rb
0.000 0.500 0.500 Na
0.500 0.000 0.500 Na
0.000 0.000 0.500 S
0.500 0.500 0.000 Cl
```

Computed properties:
**ΔE_f (raw)**: -1.220 eV/atom
**Crystal system**: tetragonal
**Raw total energy**: -3.1364 eV per atom

***

(3)
# ScCdPb2

A geometry-optimized ScCdPb2 structure (GGA-PBE, Alexandria).

```
ScCdPb2
1.0
4.342 0.000 0.000
0.000 4.820 0.000
0.000 0.000 4.848
Sc Cd Pb
1 1 2
direct
0.000 0.000 0.000 Sc
0.000 0.500 0.500 Cd
0.500 0.000 0.500 Pb
0.500 0.500 0.000 Pb
```

Computed properties:
**Crystal system**: orthorhombic
**Raw total energy**: -3.8404 eV per atom
**ΔE_f**: -0.17 eV/atom

***

Q: Which formula does entry 2 have?
A: RbNa2SCl

***

Q: Number 1 is which compound?
A: NpBr3Cl

***

Q: Which of these has the lowest raw total energy?
A: NpBr3Cl